Material: HgIrOs
Method: DFT, GGA-PBE
State: relaxed

abc: 5.933 5.933 5.933
angles: 153.11 146.08 43.81
Positions (direct):
Os 0.692 0.692 0.000
Hg 0.000 0.000 0.000
Ir 0.308 0.308 0.000

Output
- DFT total energy (eV/atom) = -6.22
- ΔH_f (0 K) (eV/f.u.) = 1.7
- spin magnetization (μB per formula unit) = 0.0
- offset from the most stable computed form (eV per formula unit) = 0.44
- crystal system = orthorhombic